1.
Below is Re3Os after structural relaxation, with properties calculated at the GGA-PBEsol level.

Cell and atoms, written as extended XYZ:
```
4
Lattice="2.749 0.000 0.000 -1.374 2.380 0.000 0.000 0.000 8.793" Properties=species:S:1:pos:R:3 pbc="T T T"
Re 1.374 0.793 6.615
Os 0.000 0.000 0.000
Re 0.000 0.000 4.397
Re 1.374 0.793 2.178
```

Values from the calculation:
Energy relative to the elements ... -4.2 kJ per mole of atoms
M_tot ... 0.00 Bohr magnetons per cell
Final energy ... -13.10 eV per atom

***

2.
Below is Hf2IrCl after structural relaxation, with properties calculated at the GGA-PBEsol level.

Cell and atoms, written as extended XYZ:
```
8
Lattice="5.190 0.000 0.000 0.000 5.190 0.000 -2.595 -2.595 6.857" Properties=species:S:1:pos:R:3 pbc="T T T"
Hf 1.298 1.284 5.143
Hf 1.311 3.893 1.714
Ir 0.000 2.595 3.429
Ir 0.000 0.000 0.000
Cl 2.595 2.595 0.000
Hf 3.879 1.298 1.714
Hf -1.298 -1.284 5.143
Cl 2.595 0.000 3.429
```

Values from the calculation:
Formation energy (no corrections) ... -72 meV per atom
M_tot ... 0.00 Bohr magnetons per cell
Final energy ... -8.28 eV per atom

***

3.
Below is Zr2ZnIn after structural relaxation, with properties calculated at the GGA-PBEsol level.

Cell and atoms, written as extended XYZ:
```
4
Lattice="3.081 0.000 0.000 0.000 5.159 0.005 0.000 -1.561 4.917" Properties=species:S:1:pos:R:3 pbc="T T T"
Zr 0.000 2.579 0.003
Zr 0.000 -0.781 2.458
Zn 1.541 1.799 2.461
In 1.541 0.000 0.000
```

Values from the calculation:
Energy relative to the elements ... -29.2 kJ per mole of atoms
M_tot ... 0.00 Bohr magnetons per cell
Final energy ... -5.99 eV per atom

***

4.
Below is Ba3InI after structural relaxation, with properties calculated at the GGA-PBEsol level.

Cell and atoms, written as extended XYZ:
```
5
Lattice="6.389 0.000 0.000 0.000 6.389 0.000 0.000 0.000 6.389" Properties=species:S:1:pos:R:3 pbc="T T T"
Ba 0.000 0.000 3.195
Ba 0.000 3.195 0.000
In 3.195 3.195 3.195
I 0.000 0.000 0.000
Ba 3.195 0.000 0.000
```

Values from the calculation:
Formation energy (no corrections) ... -308 meV per atom
M_tot ... 0.01 Bohr magnetons per cell
Final energy ... -2.55 eV per atom

***

5.
Below is CrWO4 after structural relaxation, with properties calculated at the GGA-PBEsol level.

Cell and atoms, written as extended XYZ:
```
6
Lattice="2.896 0.000 0.000 0.000 4.646 -0.039 0.000 -0.126 4.644" Properties=species:S:1:pos:R:3 pbc="T T T"
O 0.000 1.342 1.367
O 0.000 3.178 3.238
O 1.448 0.862 3.674
W 0.000 0.000 0.000
Cr 1.448 2.260 2.303
O 1.448 3.658 0.931
```

Values from the calculation:
Formation energy (no corrections) ... -2002 meV per atom
M_tot ... 3.19 Bohr magnetons per cell
Final energy ... -9.51 eV per atom

***

6.
Below is MnAlTc2 after structural relaxation, with properties calculated at the GGA-PBEsol level.

Cell and atoms, written as extended XYZ:
```
4
Lattice="-2.957 0.201 -0.431 -0.471 -3.810 1.448 -0.468 1.552 3.933" Properties=species:S:1:pos:R:3 pbc="T T T"
Tc 0.000 0.000 0.000
Al -1.714 -1.804 0.508
Tc -1.712 0.877 1.751
Mn -0.469 -1.129 2.690
```

Values from the calculation:
Energy relative to the elements ... -4.1 kJ per mole of atoms
M_tot ... 0.72 Bohr magnetons per cell
Final energy ... -9.14 eV per atom

***

7.
Below is CdAu after structural relaxation, with properties calculated at the GGA-PBEsol level.

Cell and atoms, written as extended XYZ:
```
18
Lattice="5.761 0.000 0.000 0.000 8.106 0.000 0.000 -4.053 7.020" Properties=species:S:1:pos:R:3 pbc="T T T"
Au 0.112 0.000 4.680
Au 0.112 4.053 2.340
Au 4.796 0.000 0.000
Cd 0.437 -1.266 2.193
Cd 2.959 4.053 2.340
Cd 4.564 1.429 2.476
Cd 1.950 0.000 0.000
Cd 4.564 5.248 0.000
Au 3.304 2.505 0.000
Cd 2.959 0.000 4.680
Cd 4.564 -2.624 4.545
Au 1.689 5.181 0.000
Au 3.304 2.801 4.851
Au 3.304 -1.253 2.170
Au 1.689 -2.590 4.487
Cd 0.437 2.533 0.000
Cd 0.437 2.787 4.827
Au 1.689 1.463 2.534
```

Values from the calculation:
Energy relative to the elements ... -17.6 kJ per mole of atoms
M_tot ... 0.00 Bohr magnetons per cell
Final energy ... -2.74 eV per atom

***

8.
Below is MgSi7Ir3 after structural relaxation, with properties calculated at the GGA-PBEsol level.

Cell and atoms, written as extended XYZ:
```
22
Lattice="-2.120 -2.933 6.580 -2.115 -7.195 0.397 4.860 -5.151 3.555" Properties=species:S:1:pos:R:3 pbc="T T T"
Si 3.323 -6.957 5.614
Ir -0.530 -4.769 4.764
Si -2.242 -6.005 5.938
Ir -1.274 -8.685 2.902
Ir 1.155 -10.509 5.769
Si 1.849 -5.071 4.312
Si 0.570 -10.187 3.447
Ir -1.962 -8.132 7.212
Mg 0.000 0.000 0.000
Si 0.188 -8.132 8.366
Si -1.862 -6.401 3.426
Si 2.487 -8.877 7.107
Si -1.223 -10.208 6.220
Si 0.056 -5.091 7.085
Ir 1.899 -6.593 7.631
Si 2.867 -9.274 4.594
Mg 0.313 -7.639 5.266
Si 0.438 -7.146 2.167
Ir 2.587 -7.146 3.321
Si 0.469 -11.459 7.899
Si -2.698 -8.321 4.918
Si 0.156 -3.820 2.633
```

Values from the calculation:
Formation energy (no corrections) ... -588 meV per atom
M_tot ... 0.00 Bohr magnetons per cell
Final energy ... -7.08 eV per atom